1.
# La2Sm4Al, optimized geometry, DFT PBE
data_La2Sm4Al
_chemical_formula_sum 'La2 Sm4 Al1'
_cell_length_a 4.850
_cell_length_b 4.850
_cell_length_c 10.694
_cell_angle_alpha 90.00
_cell_angle_beta 90.00
_cell_angle_gamma 90.00
_space_group_name_H-M_alt 'P -4 2 m'
_space_group_IT_number 111
_space_group_name_Hall 'P -4 2'
loop_
_atom_site_label
_atom_site_type_symbol
_atom_site_fract_x
_atom_site_fract_y
_atom_site_fract_z
_atom_site_occupancy
La1 La 0.000 0.500 0.000 1
Sm1 Sm 0.241 0.241 0.715 1
Al1 Al 0.500 0.500 0.500 1
# Excess energy over the best structure of this formula in the dataset   477.4 meV/atom
# ΔE_f   0.465 eV per atom

=====

2.
# TcGe3H, optimized geometry, DFT PBE
data_TcGe3H
_chemical_formula_sum 'Tc1 Ge3 H1'
_cell_length_a 4.768
_cell_length_b 4.768
_cell_length_c 4.768
_cell_angle_alpha 90.00
_cell_angle_beta 90.00
_cell_angle_gamma 90.00
_space_group_name_H-M_alt 'P m -3 m'
_space_group_IT_number 221
_space_group_name_Hall '-P 4 2 3'
loop_
_atom_site_label
_atom_site_type_symbol
_atom_site_fract_x
_atom_site_fract_y
_atom_site_fract_z
_atom_site_occupancy
Tc1 Tc 0.000 0.000 0.000 1
Ge1 Ge 0.000 0.000 0.500 1
H1 H 0.500 0.500 0.500 1
# Excess energy over the best structure of this formula in the dataset   0.0 meV/atom

=====

3.
# Ca2GeAs3Ir4, optimized geometry, DFT PBE
data_Ca2GeAs3Ir4
_chemical_formula_sum 'Ca2 Ge1 As3 Ir4'
_cell_length_a 4.223
_cell_length_b 4.223
_cell_length_c 10.304
_cell_angle_alpha 90.00
_cell_angle_beta 90.00
_cell_angle_gamma 90.00
_space_group_name_H-M_alt 'P -4 m 2'
_space_group_IT_number 115
_space_group_name_Hall 'P -4 -2'
loop_
_atom_site_label
_atom_site_type_symbol
_atom_site_fract_x
_atom_site_fract_y
_atom_site_fract_z
_atom_site_occupancy
Ca1 Ca 0.000 0.500 0.246 1
Ge1 Ge 0.500 0.500 0.000 1
As1 As 0.000 0.000 0.000 1
As2 As 0.000 0.500 0.636 1
Ir1 Ir 0.000 0.000 0.500 1
Ir2 Ir 0.000 0.500 0.873 1
Ir3 Ir 0.500 0.500 0.500 1
# ΔE_f   -0.596 eV per atom

=====

4.
# Ca4PmGa5, optimized geometry, DFT PBE
data_Ca4PmGa5
_chemical_formula_sum 'Ca4 Pm1 Ga5'
_cell_length_a 3.686
_cell_length_b 3.686
_cell_length_c 18.208
_cell_angle_alpha 90.00
_cell_angle_beta 90.00
_cell_angle_gamma 90.00
_space_group_name_H-M_alt 'P 4/m m m'
_space_group_IT_number 123
_space_group_name_Hall '-P 4 2'
loop_
_atom_site_label
_atom_site_type_symbol
_atom_site_fract_x
_atom_site_fract_y
_atom_site_fract_z
_atom_site_occupancy
Ca1 Ca 0.000 0.000 0.100 1
Ca2 Ca 0.000 0.000 0.298 1
Pm1 Pm 0.000 0.000 0.500 1
Ga1 Ga 0.500 0.500 0.000 1
Ga2 Ga 0.500 0.500 0.199 1
Ga3 Ga 0.500 0.500 0.400 1
# ΔE_f   -0.465 eV per atom

=====

5.
# ErP2Se6, optimized geometry, DFT PBE
data_ErP2Se6
_chemical_formula_sum 'Er3 P6 Se18'
_cell_length_a 6.6025
_cell_length_b 6.6025
_cell_length_c 22.6016
_cell_angle_alpha 90.00
_cell_angle_beta 90.00
_cell_angle_gamma 120.00
_space_group_name_H-M_alt 'R 3'
_space_group_IT_number 146
_space_group_name_Hall 'R 3'
loop_
_atom_site_label
_atom_site_type_symbol
_atom_site_fract_x
_atom_site_fract_y
_atom_site_fract_z
_atom_site_occupancy
Er1 Er 0.0000 0.0000 0.0000 1
P1 P 0.0000 0.0000 0.2821 1
P2 P 0.0000 0.0000 0.3837 1
Se1 Se 0.0211 0.3434 0.0802 1
Se2 Se 0.0230 0.6814 0.9190 1
# Formation energy (no corrections)   -483 meV/atom

=====

6.
# Tb2SiCl, optimized geometry, DFT PBE
data_Tb2SiCl
_chemical_formula_sum 'Tb6 Si3 Cl3'
_cell_length_a 4.0596
_cell_length_b 4.0596
_cell_length_c 21.6371
_cell_angle_alpha 90.00
_cell_angle_beta 90.00
_cell_angle_gamma 120.00
_space_group_name_H-M_alt 'R 3 m'
_space_group_IT_number 160
_space_group_name_Hall 'R 3 -2"'
loop_
_atom_site_label
_atom_site_type_symbol
_atom_site_fract_x
_atom_site_fract_y
_atom_site_fract_z
_atom_site_occupancy
Tb1 Tb 0.0000 0.0000 0.0000 1
Tb2 Tb 0.0000 0.0000 0.1936 1
Si1 Si 0.0000 0.0000 0.5961 1
Cl1 Cl 0.0000 0.0000 0.7679 1
# Excess energy over the best structure of this formula in the dataset   63.4 meV/atom
# Formation energy (no corrections)   -1072 meV/atom

=====

7.
# ScReAg2, optimized geometry, DFT PBE
data_ScReAg2
_chemical_formula_sum 'Sc2 Re2 Ag4'
_cell_length_a 5.481
_cell_length_b 9.705
_cell_length_c 2.766
_cell_angle_alpha 90.00
_cell_angle_beta 108.79
_cell_angle_gamma 90.00
_space_group_name_H-M_alt 'C 1 2/m 1'
_space_group_IT_number 12
_space_group_name_Hall '-C 2y'
loop_
_atom_site_label
_atom_site_type_symbol
_atom_site_fract_x
_atom_site_fract_y
_atom_site_fract_z
_atom_site_occupancy
Sc1 Sc 0.000 0.000 0.000 1
Re1 Re 0.000 0.500 0.000 1
Ag1 Ag 0.250 0.250 0.500 1
# Excess energy over the best structure of this formula in the dataset   99.0 meV/atom
# ΔE_f   0.296 eV per atom

=====

8.
Compound: H6PtS2N
Source: Alexandria
Functional: PBE
Structure: optimized geometry

The structure in CIF format:
```
data_H6PtS2N
_chemical_formula_sum 'H12 Pt2 S4 N2'
_cell_length_a 5.760
_cell_length_b 6.294
_cell_length_c 7.542
_cell_angle_alpha 90.00
_cell_angle_beta 96.97
_cell_angle_gamma 90.00
_space_group_name_H-M_alt 'P 1 21/c 1'
_space_group_IT_number 14
_space_group_name_Hall '-P 2ybc'
loop_
_atom_site_label
_atom_site_type_symbol
_atom_site_fract_x
_atom_site_fract_y
_atom_site_fract_z
_atom_site_occupancy
H1 H 0.086 0.030 0.386 1
H2 H 0.097 0.143 0.572 1
H3 H 0.400 0.213 0.806 1
Pt1 Pt 0.500 0.000 0.000 1
S1 S 0.265 0.144 0.183 1
N1 N 0.000 0.000 0.500 1
```

=====

9.
# CuAgHRh2, optimized geometry, DFT PBE
data_CuAgHRh2
_chemical_formula_sum 'Cu1 Ag1 H1 Rh2'
_cell_length_a 3.885
_cell_length_b 3.885
_cell_length_c 4.069
_cell_angle_alpha 90.00
_cell_angle_beta 90.00
_cell_angle_gamma 90.00
_space_group_name_H-M_alt 'P 4/m m m'
_space_group_IT_number 123
_space_group_name_Hall '-P 4 2'
loop_
_atom_site_label
_atom_site_type_symbol
_atom_site_fract_x
_atom_site_fract_y
_atom_site_fract_z
_atom_site_occupancy
Cu1 Cu 0.000 0.000 0.000 1
Ag1 Ag 0.500 0.500 0.000 1
H1 H 0.000 0.000 0.500 1
Rh1 Rh 0.000 0.500 0.500 1
# Excess energy over the best structure of this formula in the dataset   0.0 meV/atom

=====

10.
# Sb3Pd5, optimized geometry, DFT PBE
data_Sb3Pd5
_chemical_formula_sum 'Sb12 Pd20'
_cell_length_a 9.961
_cell_length_b 7.966
_cell_length_c 7.430
_cell_angle_alpha 90.00
_cell_angle_beta 90.00
_cell_angle_gamma 90.00
_space_group_name_H-M_alt 'P n m a'
_space_group_IT_number 62
_space_group_name_Hall '-P 2ac 2n'
loop_
_atom_site_label
_atom_site_type_symbol
_atom_site_fract_x
_atom_site_fract_y
_atom_site_fract_z
_atom_site_occupancy
Sb1 Sb 0.023 0.250 0.073 1
Sb2 Sb 0.187 0.531 0.443 1
Pd1 Pd 0.023 0.250 0.438 1
Pd2 Pd 0.053 0.058 0.772 1
Pd3 Pd 0.203 0.750 0.147 1
Pd4 Pd 0.228 0.750 0.752 1
# Excess energy over the best structure of this formula in the dataset   0.0 meV/atom
# Formation energy (no corrections)   -407 meV/atom

=====

no.,uncorrected energy (hartree per atom)
1,-0.1534
2,-0.1857
3,-0.2351
4,-0.1196
5,-0.1659
6,-0.1913
7,-0.2141
8,-0.1520
9,-0.1777
10,-0.1910